1.
The following is a DFT calculation (GGA-PBE) of a relaxed structure of Fe2BiB2.

a b c (Å): 6.542 6.542 2.981
angles (deg): 90.00 90.00 90.00
Element x y z (fractional)
Fe 0.134 0.366 0.000
Fe 0.366 0.866 0.000
Fe 0.634 0.134 0.000
Fe 0.866 0.634 0.000
Bi 0.000 0.000 0.500
Bi 0.500 0.500 0.500
B 0.093 0.593 0.500
B 0.407 0.093 0.500
B 0.593 0.907 0.500
B 0.907 0.407 0.500

Results
Space-group type: P4/mbm
Energy relative to the elements (kJ/mol of formula units): 299


2.
The following is a DFT calculation (GGA-PBE) of a relaxed structure of Cr3RhS.

a b c (Å): 4.163 4.163 4.163
angles (deg): 90.00 90.00 90.00
Element x y z (fractional)
Cr 0.000 0.000 0.500
Cr 0.000 0.500 0.000
Cr 0.500 0.000 0.000
Rh 0.500 0.500 0.500
S 0.000 0.000 0.000

Results
Space-group type: Pm-3m
Formation energy (no corrections) (kJ/mol of atoms): 44.7


3.
The following is a DFT calculation (GGA-PBE) of a relaxed structure of Zn2BiSb2.

a b c (Å): 8.152 8.152 8.152
angles (deg): 151.25 151.25 41.11
Element x y z (fractional)
Zn 0.250 0.750 0.500
Zn 0.750 0.250 0.500
Bi 0.000 0.000 0.000
Sb 0.379 0.379 0.000
Sb 0.621 0.621 0.000

Results
Space-group type: I4/mmm
Formation energy (no corrections) (kJ/mol of atoms): 12.0


| no. | mass density (g/cm³) | uncorrected energy (Ry per atom) |
| --- | --- | --- |
| 1 | 8.91 | -0.4566 |
| 2 | 6.70 | -0.5590 |
| 3 | 7.75 | -0.2066 |